Entry 1:
ScSi2Br: optimized geometry, GGA-PBE.

```
data_ScSi2Br
_chemical_formula_sum 'Sc4 Si8 Br4'
_cell_length_a 6.816
_cell_length_b 6.816
_cell_length_c 6.816
_cell_angle_alpha 90.00
_cell_angle_beta 90.00
_cell_angle_gamma 90.00
_space_group_name_H-M_alt 'F -4 3 m'
_space_group_IT_number 216
_space_group_name_Hall 'F -4 2 3'
loop_
_atom_site_label
_atom_site_type_symbol
_atom_site_fract_x
_atom_site_fract_y
_atom_site_fract_z
_atom_site_occupancy
Sc1 Sc 0.000 0.000 0.000 1
Si1 Si 0.000 0.000 0.500 1
Si2 Si 0.250 0.250 0.250 1
Br1 Br 0.250 0.250 0.750 1
```

Computed properties:
- V (Å³ per atom) = 19.8
- energy above the most stable polymorph in this dataset (meV/atom) = 778
- E_form (uncorrected) (kcal/mol of atoms) = 3.5

=====

Entry 2:
ScSi2Br: optimized geometry, GGA-PBE.

```
data_ScSi2Br
_chemical_formula_sum 'Sc2 Si4 Br2'
_cell_length_a 5.772
_cell_length_b 8.444
_cell_length_c 3.121
_cell_angle_alpha 90.00
_cell_angle_beta 90.00
_cell_angle_gamma 90.00
_space_group_name_H-M_alt 'C m m m'
_space_group_IT_number 65
_space_group_name_Hall '-C 2 2'
loop_
_atom_site_label
_atom_site_type_symbol
_atom_site_fract_x
_atom_site_fract_y
_atom_site_fract_z
_atom_site_occupancy
Sc1 Sc 0.000 0.000 0.000 1
Si1 Si 0.250 0.250 0.500 1
Br1 Br 0.000 0.500 0.000 1
```

Computed properties:
- V (Å³ per atom) = 19.0
- energy above the most stable polymorph in this dataset (meV/atom) = 731
- E_form (uncorrected) (kcal/mol of atoms) = 2.4

=====

Entry 3:
ScSi2Br: optimized geometry, GGA-PBE.

```
data_ScSi2Br
_chemical_formula_sum 'Sc1 Si2 Br1'
_cell_length_a 3.502
_cell_length_b 3.504
_cell_length_c 7.541
_cell_angle_alpha 90.00
_cell_angle_beta 94.90
_cell_angle_gamma 90.00
_space_group_name_H-M_alt 'P 1 m 1'
_space_group_IT_number 6
loop_
_space_group_symop_operation_xyz
'x,y,z'
'x,-y,z'
loop_
_atom_site_label
_atom_site_type_symbol
_atom_site_fract_x
_atom_site_fract_y
_atom_site_fract_z
_atom_site_occupancy
Sc1 Sc 0.000 0.000 0.000 1
Si1 Si 0.054 0.500 0.291 1
Si2 Si 0.554 0.000 0.291 1
Br1 Br 0.466 0.500 0.813 1
```

Computed properties:
- V (Å³ per atom) = 23.1
- energy above the most stable polymorph in this dataset (meV/atom) = 159
- E_form (uncorrected) (kcal/mol of atoms) = -10.8

=====

Entry 4:
ScSiBr2: optimized geometry, GGA-PBE.

```
data_ScSiBr2
_chemical_formula_sum 'Sc2 Si2 Br4'
_cell_length_a 15.211
_cell_length_b 3.378
_cell_length_c 4.640
_cell_angle_alpha 90.00
_cell_angle_beta 96.68
_cell_angle_gamma 90.00
_space_group_name_H-M_alt 'C 1 2/m 1'
_space_group_IT_number 12
loop_
_space_group_symop_operation_xyz
'x,y,z'
'-x,-y,-z'
'-x,y,-z'
'x,-y,z'
'x+1/2,y+1/2,z'
'-x+1/2,-y+1/2,-z'
'-x+1/2,y+1/2,-z'
'x+1/2,-y+1/2,z'
loop_
_atom_site_label
_atom_site_type_symbol
_atom_site_fract_x
_atom_site_fract_y
_atom_site_fract_z
_atom_site_occupancy
Sc1 Sc 0.000 0.000 0.000 1
Si1 Si 0.000 0.500 0.500 1
Br1 Br 0.140 0.500 0.202 1
```

Computed properties:
- V (Å³ per atom) = 29.6
- energy above the most stable polymorph in this dataset (meV/atom) = 6
- E_form (uncorrected) (kcal/mol of atoms) = -16.3

=====

Entry 5:
ScSiBr2: optimized geometry, GGA-PBE.

```
data_ScSiBr2
_chemical_formula_sum 'Sc2 Si2 Br4'
_cell_length_a 3.454
_cell_length_b 4.986
_cell_length_c 13.554
_cell_angle_alpha 90.00
_cell_angle_beta 90.00
_cell_angle_gamma 90.00
_space_group_name_H-M_alt 'I m m 2'
_space_group_IT_number 44
loop_
_space_group_symop_operation_xyz
'x,y,z'
'-x,-y,z'
'-x,y,z'
'x,-y,z'
'x+1/2,y+1/2,z+1/2'
'-x+1/2,-y+1/2,z+1/2'
'-x+1/2,y+1/2,z+1/2'
'x+1/2,-y+1/2,z+1/2'
loop_
_atom_site_label
_atom_site_type_symbol
_atom_site_fract_x
_atom_site_fract_y
_atom_site_fract_z
_atom_site_occupancy
Sc1 Sc 0.000 0.000 0.000 1
Si1 Si 0.000 0.500 0.343 1
Br1 Br 0.000 0.000 0.438 1
Br2 Br 0.000 0.500 0.649 1
```

Computed properties:
- V (Å³ per atom) = 29.2
- energy above the most stable polymorph in this dataset (meV/atom) = 243
- E_form (uncorrected) (kcal/mol of atoms) = -10.8

=====

Entry 6:
ScSi2Br: optimized geometry, GGA-PBE.

```
data_ScSi2Br
_chemical_formula_sum 'Sc3 Si6 Br3'
_cell_length_a 3.7612
_cell_length_b 3.7612
_cell_length_c 23.6359
_cell_angle_alpha 90.00
_cell_angle_beta 90.00
_cell_angle_gamma 120.00
_space_group_name_H-M_alt 'R 3 m'
_space_group_IT_number 160
_space_group_name_Hall 'R 3 -2"'
loop_
_atom_site_label
_atom_site_type_symbol
_atom_site_fract_x
_atom_site_fract_y
_atom_site_fract_z
_atom_site_occupancy
Sc1 Sc 0.0000 0.0000 0.0000 1
Si1 Si 0.0000 0.0000 0.4437 1
Si2 Si 0.0000 0.0000 0.7375 1
Br1 Br 0.0000 0.0000 0.2609 1
```

Computed properties:
- V (Å³ per atom) = 24.1
- energy above the most stable polymorph in this dataset (meV/atom) = 0
- E_form (uncorrected) (kcal/mol of atoms) = -14.4

=====

Entry 7:
ScSiBr2: optimized geometry, GGA-PBE.

```
data_ScSiBr2
_chemical_formula_sum 'Sc1 Si1 Br2'
_cell_length_a 4.332
_cell_length_b 3.380
_cell_length_c 8.008
_cell_angle_alpha 90.00
_cell_angle_beta 92.81
_cell_angle_gamma 90.00
_space_group_name_H-M_alt 'P 1 m 1'
_space_group_IT_number 6
loop_
_space_group_symop_operation_xyz
'x,y,z'
'x,-y,z'
loop_
_atom_site_label
_atom_site_type_symbol
_atom_site_fract_x
_atom_site_fract_y
_atom_site_fract_z
_atom_site_occupancy
Sc1 Sc 0.000 0.000 0.000 1
Si1 Si 0.498 0.500 0.909 1
Br1 Br 0.142 0.500 0.249 1
Br2 Br 0.715 0.000 0.679 1
```

Computed properties:
- V (Å³ per atom) = 29.3
- energy above the most stable polymorph in this dataset (meV/atom) = 0
- E_form (uncorrected) (kcal/mol of atoms) = -16.5

=====

Entry 8:
ZrSc2SiBr: optimized geometry, GGA-PBE.

```
data_ZrSc2SiBr
_chemical_formula_sum 'Zr1 Sc2 Si1 Br1'
_cell_length_a 5.400
_cell_length_b 5.400
_cell_length_c 4.972
_cell_angle_alpha 90.00
_cell_angle_beta 90.00
_cell_angle_gamma 90.00
_space_group_name_H-M_alt 'P 4/m m m'
_space_group_IT_number 123
_space_group_name_Hall '-P 4 2'
loop_
_atom_site_label
_atom_site_type_symbol
_atom_site_fract_x
_atom_site_fract_y
_atom_site_fract_z
_atom_site_occupancy
Zr1 Zr 0.000 0.000 0.000 1
Sc1 Sc 0.000 0.500 0.000 1
Si1 Si 0.000 0.000 0.500 1
Br1 Br 0.500 0.500 0.500 1
```

Computed properties:
- V (Å³ per atom) = 29.0
- energy above the most stable polymorph in this dataset (meV/atom) = 142
- E_form (uncorrected) (kcal/mol of atoms) = 12.2

=====

Entry 9:
ZrSc2SiBr: optimized geometry, GGA-PBE.

```
data_ZrSc2SiBr
_chemical_formula_sum 'Zr1 Sc2 Si1 Br1'
_cell_length_a 4.841
_cell_length_b 4.841
_cell_length_c 5.128
_cell_angle_alpha 90.00
_cell_angle_beta 90.00
_cell_angle_gamma 90.00
_space_group_name_H-M_alt 'P 4/m m m'
_space_group_IT_number 123
_space_group_name_Hall '-P 4 2'
loop_
_atom_site_label
_atom_site_type_symbol
_atom_site_fract_x
_atom_site_fract_y
_atom_site_fract_z
_atom_site_occupancy
Zr1 Zr 0.000 0.000 0.000 1
Sc1 Sc 0.000 0.500 0.500 1
Si1 Si 0.500 0.500 0.000 1
Br1 Br 0.500 0.500 0.500 1
```

Computed properties:
- V (Å³ per atom) = 24.0
- energy above the most stable polymorph in this dataset (meV/atom) = 0
- E_form (uncorrected) (kcal/mol of atoms) = 8.9

=====

Entry 10:
Sm2ScBr: optimized geometry, GGA-PBE.

```
data_Sm2ScBr
_chemical_formula_sum 'Sm2 Sc1 Br1'
_cell_length_a 3.507
_cell_length_b 3.507
_cell_length_c 9.296
_cell_angle_alpha 90.00
_cell_angle_beta 90.00
_cell_angle_gamma 90.00
_space_group_name_H-M_alt 'P 4/m m m'
_space_group_IT_number 123
_space_group_name_Hall '-P 4 2'
loop_
_atom_site_label
_atom_site_type_symbol
_atom_site_fract_x
_atom_site_fract_y
_atom_site_fract_z
_atom_site_occupancy
Sm1 Sm 0.000 0.000 0.244 1
Sc1 Sc 0.500 0.500 0.500 1
Br1 Br 0.500 0.500 0.000 1
```

Computed properties:
- V (Å³ per atom) = 28.6
- energy above the most stable polymorph in this dataset (meV/atom) = 0
- E_form (uncorrected) (kcal/mol of atoms) = -10.1

=====

Entry 11:
SmScBr6: optimized geometry, GGA-PBE.

```
data_SmScBr6
_chemical_formula_sum 'Sm2 Sc2 Br12'
_cell_length_a 6.856
_cell_length_b 13.389
_cell_length_c 6.849
_cell_angle_alpha 90.00
_cell_angle_beta 107.27
_cell_angle_gamma 90.00
_space_group_name_H-M_alt 'C 1 2/m 1'
_space_group_IT_number 12
loop_
_space_group_symop_operation_xyz
'x,y,z'
'-x,-y,-z'
'-x,y,-z'
'x,-y,z'
'x+1/2,y+1/2,z'
'-x+1/2,-y+1/2,-z'
'-x+1/2,y+1/2,-z'
'x+1/2,-y+1/2,z'
loop_
_atom_site_label
_atom_site_type_symbol
_atom_site_fract_x
_atom_site_fract_y
_atom_site_fract_z
_atom_site_occupancy
Sm1 Sm 0.000 0.000 0.000 1
Sc1 Sc 0.000 0.500 0.500 1
Br1 Br 0.232 0.359 0.734 1
Br2 Br 0.242 0.500 0.259 1
```

Computed properties:
- V (Å³ per atom) = 37.5
- E_form (uncorrected) (kcal/mol of atoms) = -40.2

=====

Entry 12:
SmScBr4: optimized geometry, GGA-PBE.

```
data_SmScBr4
_chemical_formula_sum 'Sm4 Sc4 Br16'
_cell_length_a 7.848
_cell_length_b 17.112
_cell_length_c 6.897
_cell_angle_alpha 90.00
_cell_angle_beta 124.58
_cell_angle_gamma 90.00
_space_group_name_H-M_alt 'C 1 2/c 1'
_space_group_IT_number 15
loop_
_space_group_symop_operation_xyz
'x,y,z'
'-x,-y,-z'
'-x,y,-z+1/2'
'x,-y,z+1/2'
'x+1/2,y+1/2,z'
'-x+1/2,-y+1/2,-z'
'-x+1/2,y+1/2,-z+1/2'
'x+1/2,-y+1/2,z+1/2'
loop_
_atom_site_label
_atom_site_type_symbol
_atom_site_fract_x
_atom_site_fract_y
_atom_site_fract_z
_atom_site_occupancy
Sm1 Sm 0.000 0.055 0.250 1
Sc1 Sc 0.000 0.446 0.750 1
Br1 Br 0.227 0.430 0.234 1
Br2 Br 0.241 0.331 0.760 1
```

Computed properties:
- V (Å³ per atom) = 31.8
- E_form (uncorrected) (kcal/mol of atoms) = -34.4

=====

V of number 7 (ScSiBr2)?
29.3 Å³ per atom